Entry a
{"formula": "Tl2SnTe2", "functional": "PBE-GGA", "state": "optimized geometry", "magmom_total_mub_per_fu": 0.00, "lattice": [[4.2942, 0.0000, 0.0000], [0.0000, 4.2942, 0.0000], [0.0000, 0.0000, 18.4172]], "species": ["Tl", "Tl", "Tl", "Tl", "Sn", "Sn", "Te", "Te", "Te", "Te"], "fractional_positions": [[0.0000, 0.0000, 0.0945], [0.0000, 0.0000, 0.9055], [0.5000, 0.5000, 0.4055], [0.5000, 0.5000, 0.5945], [0.0000, 0.0000, 0.5000], [0.5000, 0.5000, 0.0000], [0.0000, 0.5000, 0.2500], [0.0000, 0.5000, 0.7500], [0.5000, 0.0000, 0.2500], [0.5000, 0.0000, 0.7500]]}

***

Entry b
{"formula": "Tl2SnTe2", "functional": "PBE-GGA", "state": "optimized geometry", "magmom_total_mub_per_fu": 0.00, "lattice": [[8.6276, 0.0000, 0.0000], [0.0000, 8.6276, 0.0000], [0.0000, 0.0000, 4.6058]], "species": ["Tl", "Tl", "Tl", "Tl", "Sn", "Sn", "Te", "Te", "Te", "Te"], "fractional_positions": [[0.1366, 0.3634, 0.0000], [0.3634, 0.8634, 0.0000], [0.6366, 0.1366, 0.0000], [0.8634, 0.6366, 0.0000], [0.0000, 0.0000, 0.5000], [0.5000, 0.5000, 0.5000], [0.1741, 0.6741, 0.5000], [0.3259, 0.1741, 0.5000], [0.6741, 0.8259, 0.5000], [0.8259, 0.3259, 0.5000]]}

***

Relative energies in eV/atom: entry a 0.244; entry b 0.000